Record 1
The following is a PBE calculation of VPt12Au3 after structural relaxation, from the Alexandria database.

Results
E_form, eV/atom: -0.10
DFT total energy, eV per atom: -5.8131
N(E_F), states/eV/cell: 18.11
Total magnetization, μB/f.u.: 0.0

Cell lengths 3.9774, 3.9774, 16.0625 Å; angles 90.00, 90.00, 90.00 degrees
Last column: nearest neighbours and their distance in Å.
Fractional coordinates of all 16 atoms:
V 0.0000 0.0000 0.0000  12 Pt 2.72-2.81
Pt 0.0000 0.5000 0.1155  2 V 2.72, 8 Pt 2.72-2.88, 2 Au 2.89
Pt 0.0000 0.5000 0.3729  8 Pt 2.81-2.86, 4 Au 2.85
Pt 0.0000 0.5000 0.6271  8 Pt 2.81-2.86, 4 Au 2.85
Pt 0.0000 0.5000 0.8845  8 Pt 2.72-2.88, 2 V 2.72, 2 Au 2.89
Pt 0.5000 0.0000 0.1155  2 V 2.72, 8 Pt 2.72-2.88, 2 Au 2.89
Pt 0.5000 0.0000 0.3729  8 Pt 2.81-2.86, 4 Au 2.85
Pt 0.5000 0.0000 0.6271  8 Pt 2.81-2.86, 4 Au 2.85
Pt 0.5000 0.0000 0.8845  8 Pt 2.72-2.88, 2 V 2.72, 2 Au 2.89
Pt 0.5000 0.5000 0.0000  8 Pt 2.72, 4 V 2.81
Pt 0.5000 0.5000 0.2449  4 Au 2.81, 8 Pt 2.86-2.88
Pt 0.5000 0.5000 0.5000  4 Au 2.81, 8 Pt 2.85
Pt 0.5000 0.5000 0.7551  4 Au 2.81, 8 Pt 2.86-2.88
Au 0.0000 0.0000 0.2460  12 Pt 2.81-2.89
Au 0.0000 0.0000 0.5000  12 Pt 2.81-2.85
Au 0.0000 0.0000 0.7540  12 Pt 2.81-2.89

---

Record 2
The following is a PBE calculation of SiSb2Ru after structural relaxation, from the Alexandria database.

Results
DFT total energy, eV per atom: -5.3761
Uncorrected formation energy, meV per atom: 360
N(E_F), states/eV/cell: 3.93
Total magnetization, μB/f.u.: 0.0

Cell lengths 7.2025, 7.2025, 7.2025 Å; angles 129.74, 129.74, 73.82 degrees
Last column: nearest neighbours and their distance in Å.
Fractional coordinates of all 8 atoms:
Si 0.0000 0.0000 0.0000  4 Sb 2.65
Si 0.7500 0.2500 0.5000  4 Sb 2.65
Sb 0.1379 0.6250 0.0129  2 Ru 2.55, 2 Si 2.65
Sb 0.3750 0.3879 0.5129  2 Ru 2.55, 2 Si 2.65
Sb 0.6121 0.1250 0.9871  2 Ru 2.55, 2 Si 2.65
Sb 0.8750 0.8621 0.4871  2 Ru 2.55, 2 Si 2.65
Ru 0.2500 0.7500 0.5000  4 Sb 2.55
Ru 0.5000 0.5000 0.0000  4 Sb 2.55

---

Record 3
The following is a PBE calculation of InGaHg2Se4 after structural relaxation, from the Alexandria database.

Results
DFT total energy, eV per atom: -2.8171
Uncorrected formation energy, meV per atom: -279
N(E_F), states/eV/cell: 3.11
Total magnetization, μB/f.u.: 0.0

Cell lengths 7.5935, 7.5935, 7.5935 Å; angles 130.17, 130.17, 73.14 degrees
Last column: nearest neighbours and their distance in Å.
Fractional coordinates of all 8 atoms:
In 0.0000 0.0000 0.0000  4 Se 2.76
Ga 0.2500 0.7500 0.5000  4 Se 2.50
Hg 0.5000 0.5000 0.0000  4 Se 2.81
Hg 0.7500 0.2500 0.5000  4 Se 2.87
Se 0.1384 0.0909 0.4931  1 Ga 2.50, 1 In 2.76
Se 0.3547 0.8616 0.9524  1 Ga 2.50, 1 In 2.76
Se 0.5977 0.6453 0.5069  1 Ga 2.50, 1 In 2.76
Se 0.9091 0.4023 0.0476  1 Ga 2.50, 1 In 2.76

---

Record 4
The following is a PBE calculation of HfMn2Nb after structural relaxation, from the Alexandria database.

Results
E_form, eV/atom: -0.15
DFT total energy, eV per atom: -9.7376
N(E_F), states/eV/cell: 2.90
Total magnetization, μB/f.u.: 0.6

Cell lengths 3.1094, 3.1094, 6.2458 Å; angles 90.00, 90.00, 90.00 degrees
Last column: nearest neighbours and their distance in Å.
Fractional coordinates of all 4 atoms:
Hf 0.0000 0.0000 0.0000  8 Mn 2.74
Mn 0.5000 0.5000 0.2608  4 Nb 2.66, 4 Hf 2.74
Mn 0.5000 0.5000 0.7392  4 Nb 2.66, 4 Hf 2.74
Nb 0.0000 0.0000 0.5000  8 Mn 2.66

---

Record 5
The following is a PBE calculation of DyHoGeSe after structural relaxation, from the Alexandria database.

Results
DFT total energy, eV per atom: -5.7018
Uncorrected formation energy, meV per atom: -1381
N(E_F), states/eV/cell: 1.06
Total magnetization, μB/f.u.: 0.0

Cell lengths 7.1769, 7.1769, 7.1769 Å; angles 33.34, 33.34, 33.34 degrees
Last column: nearest neighbours and their distance in Å.
Fractional coordinates of all 4 atoms:
Dy 0.0000 0.0000 0.0000  3 Ge 2.87, 3 Se 2.98
Ho 0.4913 0.4913 0.4913  3 Ge 2.86, 3 Se 2.96
Ge 0.7460 0.7460 0.7460  3 Ho 2.86, 3 Dy 2.87
Se 0.2452 0.2452 0.2452  3 Ho 2.96, 3 Dy 2.98

---

Record 6
The following is a PBE calculation of BaZr2Mo after structural relaxation, from the Alexandria database.

Results
E_form, eV/atom: 0.63
DFT total energy, eV per atom: -6.8337
Excess energy over the best structure of this formula in the dataset, eV per atom: 0.3759
N(E_F), states/eV/cell: 6.62
Total magnetization, μB/f.u.: 0.0

Cell lengths 3.1971, 3.1971, 10.7454 Å; angles 90.00, 90.00, 114.32 degrees
Last column: nearest neighbours and their distance in Å.
Fractional coordinates of all 4 atoms:
Ba 0.0000 0.0000 0.0000  6 Ba 3.20-3.47, 2 Mo 3.25
Zr 0.0000 0.0000 0.5585  2 Mo 2.65
Zr 0.5000 0.5000 0.3181  8 Zr 3.11-3.47
Mo 0.5000 0.5000 0.7447  2 Zr 2.65

---

Record 7
The following is a PBE calculation of CaEr2HgAu4 after structural relaxation, from the Alexandria database.

Results
E_form, eV/atom: -0.72
DFT total energy, eV per atom: -3.7835
N(E_F), states/eV/cell: 4.15
Total magnetization, μB/f.u.: 0.0

Cell lengths 8.6735, 8.6735, 8.6735 Å; angles 33.47, 33.47, 33.47 degrees
Last column: nearest neighbours and their distance in Å.
Fractional coordinates of all 8 atoms:
Ca 0.0000 0.0000 0.0000  8 Au 2.96-3.02
Er 0.2426 0.2426 0.2426  8 Au 2.98-3.18
Er 0.7574 0.7574 0.7574  8 Au 2.98-3.18
Hg 0.5000 0.5000 0.5000  8 Au 3.10-3.21, 6 Er 3.43
Au 0.1207 0.1207 0.1207  1 Ca 2.96, 4 Er 2.98-2.99, 3 Hg 3.10
Au 0.3694 0.3694 0.3694  3 Ca 3.02, 4 Er 3.11-3.18, 1 Hg 3.21
Au 0.6306 0.6306 0.6306  3 Ca 3.02, 4 Er 3.11-3.18, 1 Hg 3.21
Au 0.8793 0.8793 0.8793  1 Ca 2.96, 4 Er 2.98-2.99, 3 Hg 3.10

---

Q: What is the total magnetization in the seventh record?
A: 0.0 μB/f.u.